Entry 1:
This record from Alexandria describes Ce3Nd2DyBi6 after structural relaxation. The functional is PBE.

abc: 7.939 7.939 7.942
angles: 99.60 99.60 120.01
Atoms (fractional coordinates):
Ce1 0.169 0.831 0.500
Ce2 0.831 0.169 0.500
Ce3 0.500 0.500 0.500
Nd1 0.334 0.666 0.000
Nd2 0.666 0.334 0.000
Dy1 0.000 0.000 0.000
Bi1 0.918 0.589 0.752
Bi2 0.756 0.756 0.251
Bi3 0.082 0.411 0.248
Bi4 0.589 0.918 0.752
Bi5 0.244 0.244 0.749
Bi6 0.411 0.082 0.248

Values from the calculation:
As for the total energy: -5.46 eV per atom. As for the energy of formation: -10.28 eV/f.u. The density of states at the Fermi level comes out at 20.28 states/eV/cell.

Entry 2:
This record from Alexandria describes CrRhCl2 after structural relaxation. The functional is PBE.

abc: 4.540 4.793 4.547
angles: 63.56 86.47 116.38
Atoms (fractional coordinates):
Cr1 0.000 0.500 0.500
Rh1 0.500 0.500 0.000
Cl1 0.000 0.000 0.000
Cl2 0.500 0.000 0.500

Values from the calculation:
As for the total energy: -5.08 eV per atom. The density of states at the Fermi level comes out at 3.23 states/eV/cell. For the polymorph energy (0 for the lowest one), the calculation gives 118.4 kJ/mol of formula units.

Entry 3:
This record from Alexandria describes PrCuSn after structural relaxation. The functional is PBE.

abc: 3.881 6.496 6.496
angles: 80.98 90.00 90.00
Atoms (fractional coordinates):
Cu1 0.000 0.000 0.000
Cu2 0.500 0.500 0.500
Pr1 0.000 0.715 0.715
Pr2 0.000 0.285 0.285
Sn1 0.500 0.205 0.795
Sn2 0.500 0.795 0.205

Values from the calculation:
As for the total energy: -4.40 eV per atom. As for the energy of formation: -0.33 eV/f.u. The density of states at the Fermi level comes out at 2.97 states/eV/cell.

Entry 4:
This record from Alexandria describes NaZrSe2Br after structural relaxation. The functional is PBE.

abc: 5.247 5.247 5.458
angles: 90.00 90.00 90.00
Atoms (fractional coordinates):
Na1 0.500 0.500 0.500
Se1 0.000 0.500 0.000
Se2 0.500 0.000 0.000
Br1 0.000 0.000 0.500
Zr1 0.000 0.000 0.000

Values from the calculation:
As for the total energy: -4.78 eV per atom. The density of states at the Fermi level comes out at 1.46 states/eV/cell. For the polymorph energy (0 for the lowest one), the calculation gives 0.0 kJ/mol of formula units.

Entry 5:
This record from Alexandria describes PuIn2HgBi2 after structural relaxation. The functional is PBE.

abc: 4.826 4.992 14.170
angles: 90.00 90.00 90.00
Atoms (fractional coordinates):
Pu1 0.000 0.758 0.583
Pu2 0.000 0.258 0.417
In1 0.500 0.257 0.916
In2 0.000 0.257 0.080
In3 0.500 0.757 0.084
In4 0.000 0.757 0.920
Hg1 0.500 0.258 0.574
Hg2 0.500 0.758 0.426
Bi1 0.000 0.258 0.740
Bi2 0.500 0.258 0.250
Bi3 0.000 0.758 0.260
Bi4 0.500 0.758 0.750

Values from the calculation:
As for the total energy: -4.70 eV per atom. As for the energy of formation: -0.35 eV/f.u. The density of states at the Fermi level comes out at 24.78 states/eV/cell.

Entry 6:
This record from Alexandria describes VRhN after structural relaxation. The functional is PBE.

abc: 2.837 2.837 8.085
angles: 90.00 90.00 90.00
Atoms (fractional coordinates):
V1 0.000 0.500 0.648
V2 0.500 0.000 0.352
Rh1 0.000 0.500 0.124
Rh2 0.500 0.000 0.876
N1 0.000 0.500 0.382
N2 0.500 0.000 0.618

Values from the calculation:
As for the total energy: -8.86 eV per atom. The density of states at the Fermi level comes out at 3.75 states/eV/cell. For the polymorph energy (0 for the lowest one), the calculation gives 8.0 kJ/mol of formula units.

Number 1: M_tot 2.6 μB per formula unit. Number 2: M_tot 4.0 μB per formula unit. Number 3: M_tot 0.0 μB per formula unit. Number 4: M_tot 0.0 μB per formula unit. Number 5: M_tot 6.2 μB per formula unit. Number 6: M_tot 0.0 μB per formula unit.